No. 1
5
Lattice="-5.4742 2.1545 1.7697 -2.6921 -3.0697 -4.5902 -0.7255 -4.8658 3.6795" Properties=species:S:1:pos:R:3 comment="RbSn3S (PBE, optimized geometry)" density_g_cm3=3.39 magnetic_moment_mub_per_fu=1.923 sg="Pm-3m, No. 221" e_form_raw_ev_per_atom=1.59 dos_at_fermi_per_ev_fu=13.21 pbc="T T T"
S -4.4459 -2.8905 0.4295
Sn -1.3461 -1.5349 -2.2951
Sn -0.3627 -2.4329 1.8397
Sn -2.7371 1.0772 0.8849
Rb 0.0000 0.0000 0.0000

***

No. 2
4
Lattice="3.8812 0.0000 0.0000 0.0000 4.4620 -0.0480 0.0000 0.0696 4.8574" Properties=species:S:1:pos:R:3 comment="SrBe2Pt (PBE, optimized geometry)" density_g_cm3=5.94 magnetic_moment_mub_per_fu=0.000 e_form_kj_per_mol_atoms=-24.0 sg="Pm, No. 6" dos_at_fermi_per_ev_fu=1.94 pbc="T T T"
Sr 1.9406 3.3427 3.6074
Pt 0.0000 2.2525 1.1923
Be 0.0000 4.4721 1.1606
Be 1.9406 1.1920 1.2057